# NdPu5Te6, relaxed, DFT GGA-PBE
# Crystal system: monoclinic
# Total magnetic moment: 34.843 Bohr magnetons per cell
# ΔE_f (raw): -1.128 eV/atom
data_NdPu5Te6
_chemical_formula_sum 'Nd2 Pu10 Te12'
_space_group_name_H-M_alt 'C 1 2/m 1'
_space_group_IT_number 12
_cell_length_a 7.698
_cell_length_b 13.348
_cell_length_c 7.704
_cell_angle_alpha 90.00
_cell_angle_beta 109.55
_cell_angle_gamma 90.00
loop_
_space_group_symop_operation_xyz
'x,y,z'
'-x,-y,-z'
'-x,y,-z'
'x,-y,z'
'x+1/2,y+1/2,z'
'-x+1/2,-y+1/2,-z'
'-x+1/2,y+1/2,-z'
'x+1/2,-y+1/2,z'
loop_
_atom_site_label
_atom_site_type_symbol
_atom_site_fract_x
_atom_site_fract_y
_atom_site_fract_z
Nd1 Nd 0.000 0.000 0.000
Pu1 Pu 0.000 0.165 0.500
Pu2 Pu 0.000 0.333 0.000
Pu3 Pu 0.000 0.500 0.500
Te1 Te 0.247 0.500 0.250
Te2 Te 0.248 0.331 0.748

# NdPu4Te6, relaxed, DFT GGA-PBE
# Crystal system: orthorhombic
# Total magnetic moment: 91.719 Bohr magnetons per cell
# ΔE_f (raw): -1.141 eV/atom
data_NdPu4Te6
_chemical_formula_sum 'Nd4 Pu16 Te24'
_space_group_name_H-M_alt 'C m c m'
_space_group_IT_number 63
_space_group_name_Hall '-C 2c 2'
_cell_length_a 4.377
_cell_length_b 14.634
_cell_length_c 22.637
_cell_angle_alpha 90.00
_cell_angle_beta 90.00
_cell_angle_gamma 90.00
loop_
_atom_site_label
_atom_site_type_symbol
_atom_site_fract_x
_atom_site_fract_y
_atom_site_fract_z
Nd1 Nd 0.000 0.155 0.250
Pu1 Pu 0.000 0.089 0.628
Pu2 Pu 0.000 0.360 0.540
Te1 Te 0.000 0.000 0.000
Te2 Te 0.000 0.187 0.750
Te3 Te 0.000 0.272 0.088
Te4 Te 0.000 0.448 0.666

# Nd3PuTe4, relaxed, DFT GGA-PBE
# Crystal system: orthorhombic
# Total magnetic moment: 11.965 Bohr magnetons per cell
# ΔE_f (raw): -1.355 eV/atom
data_Nd3PuTe4
_chemical_formula_sum 'Nd6 Pu2 Te8'
_space_group_name_H-M_alt 'C m m m'
_space_group_IT_number 65
_space_group_name_Hall '-C 2 2'
_cell_length_a 9.022
_cell_length_b 12.670
_cell_length_c 4.456
_cell_angle_alpha 90.00
_cell_angle_beta 90.00
_cell_angle_gamma 90.00
loop_
_atom_site_label
_atom_site_type_symbol
_atom_site_fract_x
_atom_site_fract_y
_atom_site_fract_z
Nd1 Nd 0.000 0.000 0.000
Nd2 Nd 0.250 0.250 0.500
Pu1 Pu 0.000 0.500 0.000
Te1 Te 0.000 0.252 0.000
Te2 Te 0.246 0.500 0.500

# NdPuTe, relaxed, DFT GGA-PBE
# Crystal system: orthorhombic
# Total magnetic moment: 96.199 Bohr magnetons per cell
# ΔE_f (raw): -0.444 eV/atom
data_NdPuTe
_chemical_formula_sum 'Nd16 Pu16 Te16'
_space_group_name_H-M_alt 'F d d d'
_space_group_IT_number 70
_cell_length_a 7.393
_cell_length_b 14.435
_cell_length_c 14.504
_cell_angle_alpha 90.00
_cell_angle_beta 90.00
_cell_angle_gamma 90.00
loop_
_space_group_symop_operation_xyz
'x,y,z'
'-x,-y,-z'
'-x+1/4,-y+1/4,z'
'x+1/4,y+1/4,-z'
'x,-y+1/4,-z+1/4'
'-x,y+1/4,z+1/4'
'-x+1/4,y,-z+1/4'
'x+1/4,-y,z+1/4'
'x,y+1/2,z+1/2'
'-x,-y+1/2,-z+1/2'
'-x+1/4,-y+3/4,z+1/2'
'x+1/4,y+3/4,-z+1/2'
'x,-y+3/4,-z+3/4'
'-x,y+3/4,z+3/4'
'-x+1/4,y+1/2,-z+3/4'
'x+1/4,-y+1/2,z+3/4'
'x+1/2,y,z+1/2'
'-x+1/2,-y,-z+1/2'
'-x+3/4,-y+1/4,z+1/2'
'x+3/4,y+1/4,-z+1/2'
'x+1/2,-y+1/4,-z+3/4'
'-x+1/2,y+1/4,z+3/4'
'-x+3/4,y,-z+3/4'
'x+3/4,-y,z+3/4'
'x+1/2,y+1/2,z'
'-x+1/2,-y+1/2,-z'
'-x+3/4,-y+3/4,z'
'x+3/4,y+3/4,-z'
'x+1/2,-y+3/4,-z+1/4'
'-x+1/2,y+3/4,z+1/4'
'-x+3/4,y+1/2,-z+1/4'
'x+3/4,-y+1/2,z+1/4'
loop_
_atom_site_label
_atom_site_type_symbol
_atom_site_fract_x
_atom_site_fract_y
_atom_site_fract_z
Nd1 Nd 0.000 0.000 0.000
Pu1 Pu 0.125 0.029 0.625
Te1 Te 0.125 0.125 0.431

# Nd3Pu2ThTe6, relaxed, DFT GGA-PBE
# Crystal system: monoclinic
# Total magnetic moment: 23.637 Bohr magnetons per cell
# ΔE_f (raw): -1.254 eV/atom
data_Nd3Pu2ThTe6
_chemical_formula_sum 'Nd6 Pu4 Th2 Te12'
_space_group_name_H-M_alt 'C 1 2/m 1'
_space_group_IT_number 12
_cell_length_a 19.501
_cell_length_b 4.445
_cell_length_c 8.987
_cell_angle_alpha 90.00
_cell_angle_beta 103.53
_cell_angle_gamma 90.00
loop_
_space_group_symop_operation_xyz
'x,y,z'
'-x,-y,-z'
'-x,y,-z'
'x,-y,z'
'x+1/2,y+1/2,z'
'-x+1/2,-y+1/2,-z'
'-x+1/2,y+1/2,-z'
'x+1/2,-y+1/2,z'
loop_
_atom_site_label
_atom_site_type_symbol
_atom_site_fract_x
_atom_site_fract_y
_atom_site_fract_z
Nd1 Nd 0.000 0.000 0.000
Nd2 Nd 0.165 0.500 0.334
Pu1 Pu 0.166 0.500 0.833
Th1 Th 0.000 0.000 0.500
Te1 Te 0.002 0.500 0.752
Te2 Te 0.167 0.000 0.589
Te3 Te 0.168 0.000 0.080

# Nd2PuTh3Te6, relaxed, DFT GGA-PBE
# Crystal system: monoclinic
# Total magnetic moment: 11.202 Bohr magnetons per cell
# ΔE_f (raw): -1.160 eV/atom
data_Nd2PuTh3Te6
_chemical_formula_sum 'Nd4 Pu2 Th6 Te12'
_space_group_name_H-M_alt 'C 1 2/m 1'
_space_group_IT_number 12
_cell_length_a 19.710
_cell_length_b 4.423
_cell_length_c 9.027
_cell_angle_alpha 90.00
_cell_angle_beta 106.09
_cell_angle_gamma 90.00
loop_
_space_group_symop_operation_xyz
'x,y,z'
'-x,-y,-z'
'-x,y,-z'
'x,-y,z'
'x+1/2,y+1/2,z'
'-x+1/2,-y+1/2,-z'
'-x+1/2,y+1/2,-z'
'x+1/2,-y+1/2,z'
loop_
_atom_site_label
_atom_site_type_symbol
_atom_site_fract_x
_atom_site_fract_y
_atom_site_fract_z
Nd1 Nd 0.166 0.000 0.336
Pu1 Pu 0.000 0.500 0.000
Th1 Th 0.000 0.500 0.500
Th2 Th 0.170 0.000 0.841
Te1 Te 0.001 0.000 0.756
Te2 Te 0.163 0.500 0.087
Te3 Te 0.167 0.500 0.586

# Nd2PuTl3Te6, relaxed, DFT GGA-PBE
# Crystal system: monoclinic
# Total magnetic moment: 10.021 Bohr magnetons per cell
# ΔE_f (raw): -0.968 eV/atom
data_Nd2PuTl3Te6
_chemical_formula_sum 'Nd4 Pu2 Tl6 Te12'
_space_group_name_H-M_alt 'C 1 2/m 1'
_space_group_IT_number 12
_cell_length_a 7.893
_cell_length_b 13.672
_cell_length_c 8.557
_cell_angle_alpha 90.00
_cell_angle_beta 107.92
_cell_angle_gamma 90.00
loop_
_space_group_symop_operation_xyz
'x,y,z'
'-x,-y,-z'
'-x,y,-z'
'x,-y,z'
'x+1/2,y+1/2,z'
'-x+1/2,-y+1/2,-z'
'-x+1/2,y+1/2,-z'
'x+1/2,-y+1/2,z'
loop_
_atom_site_label
_atom_site_type_symbol
_atom_site_fract_x
_atom_site_fract_y
_atom_site_fract_z
Nd1 Nd 0.000 0.166 0.000
Pu1 Pu 0.000 0.500 0.000
Tl1 Tl 0.000 0.000 0.500
Tl2 Tl 0.000 0.332 0.500
Te1 Te 0.238 0.335 0.219
Te2 Te 0.244 0.000 0.220

# NdPu2Tl3Te6, relaxed, DFT GGA-PBE
# Crystal system: monoclinic
# Total magnetic moment: 20.007 Bohr magnetons per cell
# ΔE_f (raw): -0.876 eV/atom
data_NdPu2Tl3Te6
_chemical_formula_sum 'Nd2 Pu4 Tl6 Te12'
_space_group_name_H-M_alt 'C 1 2/m 1'
_space_group_IT_number 12
_cell_length_a 7.838
_cell_length_b 13.574
_cell_length_c 8.560
_cell_angle_alpha 90.00
_cell_angle_beta 107.77
_cell_angle_gamma 90.00
loop_
_space_group_symop_operation_xyz
'x,y,z'
'-x,-y,-z'
'-x,y,-z'
'x,-y,z'
'x+1/2,y+1/2,z'
'-x+1/2,-y+1/2,-z'
'-x+1/2,y+1/2,-z'
'x+1/2,-y+1/2,z'
loop_
_atom_site_label
_atom_site_type_symbol
_atom_site_fract_x
_atom_site_fract_y
_atom_site_fract_z
Nd1 Nd 0.000 0.000 0.000
Pu1 Pu 0.000 0.333 0.000
Tl1 Tl 0.000 0.165 0.500
Tl2 Tl 0.000 0.500 0.500
Te1 Te 0.233 0.500 0.215
Te2 Te 0.242 0.169 0.217

The highest ΔE_f (raw) belongs to which entry?
NdPuTe

What is the formula in the second record?
NdPu4Te6

Which of these has the lowest total magnetic moment?
Nd2PuTl3Te6

Look up the ΔE_f (raw) of the second one.
-1.141 eV/atom